(1)
Density functional theory data (PBE) for a geometry-optimized Sr4TcAu structure.

Cell: 6.734 6.734 6.734 Å, 60.00 60.00 60.00°
Positions (direct):
Sr 0.124 0.124 0.124
Sr 0.124 0.124 0.627
Sr 0.124 0.627 0.124
Sr 0.627 0.124 0.124
Tc 0.750 0.750 0.750
Au 0.500 0.500 0.500

Summary:
**Volume**: 215.9 Å³/f.u.
**Energy of formation**: 6.37 eV per formula unit

---

(2)
Density functional theory data (PBE) for a geometry-optimized SrTc2Au structure.

Cell: 4.754 4.754 4.754 Å, 119.92 119.92 90.13°
Positions (direct):
Sr 0.000 0.000 0.000
Tc 0.500 0.500 0.000
Tc 0.750 0.250 0.500
Au 0.250 0.750 0.500

Summary:
**Volume**: 76.1 Å³/f.u.
**Energy of formation**: 2.74 eV per formula unit

---

(3)
Density functional theory data (PBE) for a geometry-optimized SrTc2Au structure.

Cell: 6.144 6.144 6.144 Å, 152.36 133.20 55.22°
Positions (direct):
Sr 0.000 0.000 0.000
Tc 0.277 0.777 0.500
Tc 0.723 0.223 0.500
Au 0.500 0.500 0.000

Summary:
**Volume**: 78.0 Å³/f.u.
**Energy of formation**: 2.56 eV per formula unit

---

(4)
Density functional theory data (PBE) for a geometry-optimized SrTc2Au structure.

Cell: 3.176 3.176 7.929 Å, 90.00 90.00 90.00°
Positions (direct):
Sr 0.000 0.000 0.000
Tc 0.000 0.000 0.464
Tc 0.500 0.500 0.311
Au 0.500 0.500 0.704

Summary:
**Volume**: 80.0 Å³/f.u.
**Energy of formation**: 0.78 eV per formula unit

---

(5)
Density functional theory data (PBE) for a geometry-optimized SrTc2Au structure.

Cell: 10.507 10.507 10.507 Å, 155.67 155.67 34.67°
Positions (direct):
Sr 0.000 0.000 0.000
Sr 0.750 0.250 0.500
Tc 0.300 0.625 0.175
Tc 0.375 0.550 0.675
Tc 0.450 0.125 0.825
Tc 0.875 0.700 0.325
Au 0.250 0.750 0.500
Au 0.500 0.500 0.000

Summary:
**Volume**: 98.3 Å³/f.u.
**Energy of formation**: 2.59 eV per formula unit

---

(6)
Density functional theory data (PBE) for a geometry-optimized SrTc2Au structure.

Cell: 2.801 2.801 9.509 Å, 90.00 90.00 90.00°
Positions (direct):
Sr 0.000 0.000 0.000
Tc 0.500 0.500 0.280
Tc 0.500 0.500 0.720
Au 0.000 0.000 0.500

Summary:
**Volume**: 74.6 Å³/f.u.
**Energy of formation**: 3.25 eV per formula unit